The following is a DFT calculation (PBE) of crystalline Pr2BiN at its relaxed geometry.

abc: 4.321 7.703 13.548
angles: 90.00 90.00 90.00
Positions (direct):
Pr 0.750 0.175 0.461
Pr 0.250 0.825 0.539
Pr 0.750 0.675 0.039
Pr 0.250 0.325 0.961
Pr 0.750 0.101 0.731
Pr 0.250 0.399 0.231
Pr 0.750 0.601 0.769
Pr 0.250 0.899 0.269
Bi 0.750 0.112 0.136
Bi 0.250 0.888 0.864
Bi 0.750 0.612 0.364
Bi 0.250 0.388 0.636
N 0.250 0.547 0.087
N 0.250 0.047 0.413
N 0.750 0.453 0.913
N 0.750 0.953 0.587

Values from the calculation:
The magnetic moment comes out at 0.0 μB/f.u. For the density of states at the Fermi level, the calculation gives 0.5 states/eV/f.u. The value obtained for the total energy is -104.5 eV per cell. As for the polymorph energy (0 for the lowest one): 0.17 eV per formula unit. The energy relative to the elements, uncorrected is -1091 meV/atom.